(1)
Fe2ReCl PBE relaxed; raw total energy = -6.93 eV per atom; ΔE to the lowest computed polymorph = 603 meV/atom
1.0
2.771 0.000 0.000
0.000 4.414 0.000
0.000 0.000 4.467
Re Fe Cl
1 2 1
direct
0.500 0.000 0.500
0.000 0.000 0.000
0.500 0.500 0.000
0.000 0.500 0.500

(2)
Ba2SnS2 PBE relaxed; raw total energy = -4.24 eV per atom; ΔE to the lowest computed polymorph = 0 meV/atom
1.0
-4.694 -4.809 -5.953
7.142 -5.261 -1.381
-1.194 -2.371 2.857
S Ba Sn
4 4 2
direct
0.157 0.657 0.500
0.657 0.843 0.500
0.843 0.343 0.500
0.343 0.157 0.500
0.352 0.852 0.000
0.852 0.648 0.000
0.648 0.148 0.000
0.148 0.352 0.000
0.000 0.000 0.000
0.500 0.500 0.000

(3)
SrCl3 PBE relaxed; raw total energy = -3.47 eV per atom
1.0
7.098 0.000 0.000
0.000 7.667 0.000
0.000 0.000 8.620
Sr Cl
4 12
direct
0.539 0.838 0.750
0.039 0.662 0.250
0.961 0.338 0.750
0.461 0.162 0.250
0.156 0.981 0.750
0.656 0.519 0.250
0.344 0.481 0.750
0.844 0.019 0.250
0.700 0.127 0.947
0.200 0.373 0.053
0.800 0.627 0.553
0.300 0.873 0.447
0.300 0.873 0.053
0.800 0.627 0.947
0.200 0.373 0.447
0.700 0.127 0.553

(4)
LiSm2Hf PBE relaxed; DFT formation energy = 40.63 kJ/mol of atoms; raw total energy = -4.91 eV per atom; ΔE to the lowest computed polymorph = 301 meV/atom
1.0
-0.620 2.680 -1.765
-3.034 1.208 -0.126
1.084 8.068 8.844
Hf Sm Li
1 2 1
direct
0.000 0.000 0.000
0.086 0.086 0.741
0.914 0.914 0.259
0.500 0.500 0.500

(5)
Ag4RhCl PBE relaxed; raw total energy = -2.98 eV per atom
1.0
0.000 3.860 3.860
3.860 0.000 3.860
3.860 3.860 0.000
Ag Rh Cl
4 1 1
direct
0.877 0.374 0.374
0.374 0.374 0.877
0.374 0.877 0.374
0.374 0.374 0.374
0.000 0.000 0.000
0.750 0.750 0.750

(6)
MnP2Se PBE relaxed; raw total energy = -5.78 eV per atom
1.0
-3.361 -1.866 2.237
2.401 -3.171 -1.989
1.627 -2.776 3.071
Mn P Se
1 2 1
direct
0.500 0.500 0.000
0.000 0.000 0.000
0.500 0.000 0.500
0.000 0.500 0.500

(7)
TlHPd2Au PBE relaxed; raw total energy = -3.83 eV per atom; ΔE to the lowest computed polymorph = 114 meV/atom
1.0
-2.037 -3.409 0.844
1.020 0.360 3.914
-3.801 2.461 0.764
H Tl Au Pd
1 1 1 2
direct
0.000 0.000 0.000
0.000 0.000 0.500
0.500 0.500 0.500
0.000 0.500 0.000
0.500 0.000 0.000

(8)
Nd8Tl5Cu PBE relaxed; DFT formation energy = -21.70 kJ/mol of atoms; raw total energy = -4.09 eV per atom
1.0
-6.552 4.862 1.349
-0.575 -6.846 4.603
6.842 4.186 2.014
Nd Tl Cu
8 5 1
direct
0.129 0.731 0.005
0.995 0.124 0.726
0.778 0.253 0.378
0.622 0.400 0.875
0.475 0.600 0.222
0.602 0.876 0.871
0.274 0.269 0.398
0.125 0.747 0.525
0.991 0.364 0.119
0.881 0.872 0.245
0.755 0.636 0.627
0.500 0.000 0.500
0.373 0.128 0.009
0.250 0.500 0.750

(9)
NaMnP2S8 PBE relaxed; raw total energy = -4.79 eV per atom
1.0
5.735 0.000 0.000
2.868 4.967 0.000
2.868 1.656 9.312
Na Mn P S
1 1 2 8
direct
0.500 0.500 0.500
0.000 0.000 0.000
0.262 0.262 0.214
0.738 0.738 0.786
0.191 0.191 0.428
0.632 0.285 0.148
0.809 0.809 0.572
0.935 0.632 0.148
0.065 0.368 0.852
0.285 0.935 0.148
0.715 0.065 0.852
0.368 0.715 0.852

(10)
Mg2Ga PBE relaxed; DFT formation energy = -6.44 kJ/mol of atoms; raw total energy = -2.14 eV per atom
1.0
-3.537 0.222 -4.666
-4.641 -3.457 -0.918
-5.597 1.733 0.053
Mg Ga
4 2
direct
0.331 0.000 0.669
0.000 0.669 0.331
0.500 0.500 0.500
0.669 0.331 0.000
0.834 0.834 0.834
0.166 0.166 0.166

(11)
MnGaB3 PBE relaxed; DFT formation energy = 221.06 kJ/mol of atoms; raw total energy = -4.15 eV per atom; ΔE to the lowest computed polymorph = 1362 meV/atom
1.0
-1.450 0.385 -3.686
3.347 -1.564 -1.480
-1.592 -3.639 0.246
B Mn Ga
3 1 1
direct
0.000 0.500 0.000
0.000 0.000 0.500
0.500 0.000 0.000
0.500 0.500 0.500
0.000 0.000 0.000

(12)
Mg2UB2Rh5 PBE relaxed; DFT formation energy = -45.55 kJ/mol of atoms; raw total energy = -6.93 eV per atom
1.0
3.204 0.000 0.000
0.000 9.459 0.000
0.000 0.000 9.459
Mg U B Rh
4 2 4 10
direct
0.000 0.672 0.172
0.000 0.328 0.828
0.000 0.172 0.328
0.000 0.828 0.672
0.000 0.000 0.000
0.000 0.500 0.500
0.000 0.119 0.619
0.000 0.881 0.381
0.000 0.619 0.881
0.000 0.381 0.119
0.500 0.220 0.074
0.500 0.780 0.926
0.500 0.074 0.780
0.500 0.720 0.426
0.500 0.926 0.220
0.500 0.280 0.574
0.500 0.574 0.720
0.500 0.426 0.280
0.500 0.500 0.000
0.500 0.000 0.500

(13)
Li2TmPd4 PBE relaxed; DFT formation energy = -54.43 kJ/mol of atoms; raw total energy = -4.72 eV per atom; ΔE to the lowest computed polymorph = 0 meV/atom
1.0
-3.219 -2.531 4.034
4.757 0.915 4.365
-3.144 6.194 -2.666
Li Tm Pd
4 2 8
direct
0.449 0.398 0.755
0.761 0.904 0.376
0.631 0.273 0.121
0.944 0.395 0.746
0.310 0.656 0.478
0.084 0.927 0.024
0.029 0.225 0.402
0.366 0.570 0.099
0.837 0.634 0.533
0.697 0.065 0.749
0.517 0.223 0.402
0.196 0.066 0.749
0.554 0.847 0.964
0.876 0.568 0.100

(14)
Ac3LaHg3 PBE relaxed; DFT formation energy = -32.13 kJ/mol of atoms; raw total energy = -2.93 eV per atom
1.0
7.934 0.077 -0.001
0.095 7.933 -0.001
0.001 0.001 7.916
Ac La Hg
6 2 6
direct
0.260 0.260 0.500
0.243 0.757 0.500
0.757 0.243 0.500
0.273 0.727 0.000
0.727 0.273 0.000
0.740 0.740 0.500
0.237 0.237 0.000
0.763 0.763 0.000
0.000 0.000 0.759
0.500 0.000 0.243
0.000 0.500 0.243
0.500 0.000 0.757
0.000 0.500 0.757
0.000 0.000 0.241

(15)
YCuHPd2 PBE relaxed; raw total energy = -5.21 eV per atom; ΔE to the lowest computed polymorph = 53 meV/atom
1.0
4.169 0.000 0.000
0.000 4.169 0.000
0.000 0.000 4.165
Y H Cu Pd
1 1 1 2
direct
0.500 0.500 0.500
0.000 0.000 0.000
0.000 0.000 0.500
0.000 0.500 0.000
0.500 0.000 0.000

(16)
CaIrBr PBE relaxed; raw total energy = -5.25 eV per atom; ΔE to the lowest computed polymorph = 0 meV/atom
1.0
4.164 0.000 -0.003
1.628 11.851 -0.002
-1.952 0.997 3.542
Ca Ir Br
2 2 2
direct
0.314 0.647 0.957
0.009 0.031 0.620
0.835 0.841 0.113
0.488 0.837 0.465
0.235 0.173 0.157
0.088 0.505 0.421

(17)
MgTe2P PBE relaxed; raw total energy = -3.40 eV per atom; ΔE to the lowest computed polymorph = 137 meV/atom
1.0
7.226 -0.066 -0.040
6.063 3.932 -0.040
6.063 1.764 3.514
Mg P Te
1 1 2
direct
0.250 0.250 0.250
0.750 0.750 0.750
0.005 0.005 0.005
0.495 0.495 0.495

(18)
Ba2SrO PBE relaxed; raw total energy = -3.69 eV per atom
1.0
-1.198 -3.623 1.303
-0.030 -3.142 -2.526
10.012 -4.667 2.468
Sr Ba O
1 2 1
direct
0.000 0.000 0.000
0.120 0.120 0.639
0.880 0.880 0.361
0.500 0.500 0.500

(19)
La2Ir3 PBE relaxed; DFT formation energy = -51.71 kJ/mol of atoms; raw total energy = -7.82 eV per atom
1.0
-7.679 -2.001 -0.124
-5.532 -5.573 -1.153
-5.904 -4.401 2.960
La Ir
2 3
direct
0.594 0.594 0.594
0.406 0.406 0.406
0.000 0.000 0.000
0.833 0.833 0.833
0.167 0.167 0.167

(20)
BaCa2Sm PBE relaxed; DFT formation energy = 8.88 kJ/mol of atoms; raw total energy = -2.57 eV per atom; ΔE to the lowest computed polymorph = 0 meV/atom
1.0
4.267 0.000 0.000
0.000 4.267 0.000
0.000 0.000 9.620
Ca Ba Sm
2 1 1
direct
0.000 0.000 0.785
0.000 0.000 0.215
0.500 0.500 0.500
0.500 0.500 0.000

(21)
RbSbRuRh2 PBE relaxed; raw total energy = -4.25 eV per atom
1.0
4.886 0.000 0.000
0.000 6.079 0.000
0.000 0.000 4.886
Sb Rh Rb Ru
1 2 1 1
direct
0.000 0.000 0.000
0.000 0.000 0.500
0.500 0.000 0.000
0.000 0.500 0.000
0.500 0.500 0.500

(22)
Ti3AlW PBE relaxed; DFT formation energy = 116.37 kJ/mol of atoms; raw total energy = -6.87 eV per atom; ΔE to the lowest computed polymorph = 1391 meV/atom
1.0
4.572 0.000 0.000
0.000 4.572 0.000
0.000 0.000 4.572
Al W Ti
1 1 3
direct
0.000 0.000 0.000
0.500 0.500 0.500
0.000 0.500 0.000
0.000 0.000 0.500
0.500 0.000 0.000

(23)
BaSbIrW2 PBE relaxed; raw total energy = -6.43 eV per atom
1.0
-4.111 -2.920 -0.883
-0.793 -0.377 4.935
-2.941 4.187 -0.153
Sb Ir Ba W
1 1 1 2
direct
0.000 0.000 0.000
0.000 0.500 0.000
0.500 0.500 0.500
0.000 0.000 0.500
0.500 0.000 0.000

(24)
Cs2NpSc2S6 PBE relaxed; raw total energy = -6.36 eV per atom
1.0
-0.431 5.270 -4.160
1.682 -6.064 -2.380
-8.360 -1.416 0.906
Cs Np Sc S
2 1 2 6
direct
0.833 0.167 0.000
0.167 0.833 0.000
0.000 0.000 0.500
0.333 0.667 0.500
0.667 0.333 0.500
0.717 0.717 0.672
0.058 0.399 0.672
0.283 0.283 0.328
0.399 0.058 0.672
0.942 0.601 0.328
0.601 0.942 0.328

(25)
MnSnRu3 PBE relaxed; DFT formation energy = 95.96 kJ/mol of atoms; raw total energy = -7.21 eV per atom
1.0
4.496 0.000 0.000
0.000 4.496 0.000
0.000 0.000 4.496
Ru Mn Sn
3 1 1
direct
0.000 0.500 0.000
0.000 0.000 0.500
0.500 0.000 0.000
0.000 0.000 0.000
0.500 0.500 0.500